Entry 1:
Here is crystalline AgHg3B at its relaxed geometry from Alexandria. Energies are from GGA-PBE.

Values from the calculation:
Offset from the most stable computed form   0 meV per atom
Mass density   11.5 g/cm3
V   104 Å³ per cell
DOS(E_F)   1.4 states/eV per cell

```
data_AgHg3B
_symmetry_space_group_name_H-M 'P 1'
_symmetry_Int_Tables_number 1
_cell_length_a 4.7045
_cell_length_b 4.7045
_cell_length_c 4.7045
_cell_angle_alpha 90.00
_cell_angle_beta 90.00
_cell_angle_gamma 90.00
loop_
_symmetry_equiv_pos_as_xyz
'x,y,z'
loop_
_atom_site_label
_atom_site_type_symbol
_atom_site_fract_x
_atom_site_fract_y
_atom_site_fract_z
Ag1 Ag 0.5000 0.5000 0.5000
Hg1 Hg 0.0000 0.5000 0.0000
Hg2 Hg 0.0000 0.0000 0.5000
Hg3 Hg 0.5000 0.0000 0.0000
B1 B 0.0000 0.0000 0.0000
```

=====

Entry 2:
Here is crystalline Ag2HgB at its relaxed geometry from Alexandria. Energies are from GGA-PBE.

Values from the calculation:
Offset from the most stable computed form   275 meV per atom
Mass density   10.4 g/cm3
V   68 Å³ per cell
DOS(E_F)   1.4 states/eV per cell

```
data_Ag2HgB
_symmetry_space_group_name_H-M 'P 1'
_symmetry_Int_Tables_number 1
_cell_length_a 4.5903
_cell_length_b 4.5903
_cell_length_c 4.5903
_cell_angle_alpha 60.00
_cell_angle_beta 60.00
_cell_angle_gamma 60.00
loop_
_symmetry_equiv_pos_as_xyz
'x,y,z'
loop_
_atom_site_label
_atom_site_type_symbol
_atom_site_fract_x
_atom_site_fract_y
_atom_site_fract_z
Ag1 Ag 0.7500 0.7500 0.7500
Ag2 Ag 0.2500 0.2500 0.2500
B1 B 0.0000 0.0000 0.0000
Hg1 Hg 0.5000 0.5000 0.5000
```

=====

Entry 3:
Here is crystalline AgHg3B at its relaxed geometry from Alexandria. Energies are from GGA-PBE.

Values from the calculation:
Offset from the most stable computed form   628 meV per atom
Mass density   7.6 g/cm3
V   158 Å³ per cell
DOS(E_F)   4.5 states/eV per cell

```
data_AgHg3B
_symmetry_space_group_name_H-M 'P 1'
_symmetry_Int_Tables_number 1
_cell_length_a 5.4023
_cell_length_b 5.4023
_cell_length_c 5.4023
_cell_angle_alpha 90.00
_cell_angle_beta 90.00
_cell_angle_gamma 90.00
loop_
_symmetry_equiv_pos_as_xyz
'x,y,z'
loop_
_atom_site_label
_atom_site_type_symbol
_atom_site_fract_x
_atom_site_fract_y
_atom_site_fract_z
Hg1 Hg 0.0000 0.5000 0.0000
Hg2 Hg 0.0000 0.0000 0.5000
Hg3 Hg 0.5000 0.0000 0.0000
Ag1 Ag 0.0000 0.0000 0.0000
B1 B 0.5000 0.5000 0.5000
```

=====

Entry 4:
Here is crystalline AgHgB2 at its relaxed geometry from Alexandria. Energies are from GGA-PBE.

Values from the calculation:
Mass density   8.2 g/cm3
DFT total energy   -2.685 eV per atom
V   134 Å³ per cell
DOS(E_F)   3.6 states/eV per cell

```
data_AgHgB2
_symmetry_space_group_name_H-M 'P 1'
_symmetry_Int_Tables_number 1
_cell_length_a 5.6629
_cell_length_b 5.6629
_cell_length_c 5.7799
_cell_angle_alpha 60.67
_cell_angle_beta 60.67
_cell_angle_gamma 90.00
loop_
_symmetry_equiv_pos_as_xyz
'x,y,z'
loop_
_atom_site_label
_atom_site_type_symbol
_atom_site_fract_x
_atom_site_fract_y
_atom_site_fract_z
Hg1 Hg 0.7500 0.2500 0.5000
Hg2 Hg 0.0000 0.0000 0.0000
B1 B 0.1405 0.6250 0.2500
B2 B 0.6095 0.1250 0.2500
B3 B 0.8750 0.8595 0.7500
B4 B 0.3750 0.3905 0.7500
Ag1 Ag 0.5000 0.5000 0.0000
Ag2 Ag 0.2500 0.7500 0.5000
```

=====

Entry 5:
Here is crystalline AgHg2B at its relaxed geometry from Alexandria. Energies are from GGA-PBE.

Values from the calculation:
Mass density   8.8 g/cm3
DFT total energy   -1.681 eV per atom
V   196 Å³ per cell
DOS(E_F)   4.1 states/eV per cell

```
data_AgHg2B
_symmetry_space_group_name_H-M 'P 1'
_symmetry_Int_Tables_number 1
_cell_length_a 5.8091
_cell_length_b 5.8091
_cell_length_c 7.1240
_cell_angle_alpha 65.94
_cell_angle_beta 65.94
_cell_angle_gamma 90.00
loop_
_symmetry_equiv_pos_as_xyz
'x,y,z'
loop_
_atom_site_label
_atom_site_type_symbol
_atom_site_fract_x
_atom_site_fract_y
_atom_site_fract_z
Hg1 Hg 0.8750 0.7679 0.7500
Hg2 Hg 0.5179 0.1250 0.2500
Hg3 Hg 0.2321 0.6250 0.2500
Hg4 Hg 0.3750 0.4821 0.7500
Ag1 Ag 0.0000 0.0000 0.0000
Ag2 Ag 0.7500 0.2500 0.5000
B1 B 0.2500 0.7500 0.5000
B2 B 0.5000 0.5000 0.0000
```

=====

Entry 6:
Here is crystalline Li2AgHgB at its relaxed geometry from Alexandria. Energies are from GGA-PBE.

Values from the calculation:
Mass density   4.7 g/cm3
DFT total energy   -1.706 eV per atom
V   119 Å³ per cell
DOS(E_F)   2.8 states/eV per cell

```
data_Li2AgHgB
_symmetry_space_group_name_H-M 'P 1'
_symmetry_Int_Tables_number 1
_cell_length_a 4.7612
_cell_length_b 5.2328
_cell_length_c 4.7612
_cell_angle_alpha 90.00
_cell_angle_beta 90.00
_cell_angle_gamma 90.00
loop_
_symmetry_equiv_pos_as_xyz
'x,y,z'
loop_
_atom_site_label
_atom_site_type_symbol
_atom_site_fract_x
_atom_site_fract_y
_atom_site_fract_z
Li1 Li 0.0000 0.0000 0.5000
Li2 Li 0.5000 0.0000 0.0000
Ag1 Ag 0.0000 0.0000 0.0000
B1 B 0.5000 0.5000 0.5000
Hg1 Hg 0.0000 0.5000 0.0000
```

=====

Entry 7:
Here is crystalline AgHg2BN at its relaxed geometry from Alexandria. Energies are from GGA-PBE.

Values from the calculation:
Mass density   7.1 g/cm3
DFT total energy   -1.986 eV per atom
V   125 Å³ per cell
DOS(E_F)   2.0 states/eV per cell

```
data_AgHg2BN
_symmetry_space_group_name_H-M 'P 1'
_symmetry_Int_Tables_number 1
_cell_length_a 5.4713
_cell_length_b 4.1648
_cell_length_c 5.4713
_cell_angle_alpha 90.00
_cell_angle_beta 90.00
_cell_angle_gamma 90.00
loop_
_symmetry_equiv_pos_as_xyz
'x,y,z'
loop_
_atom_site_label
_atom_site_type_symbol
_atom_site_fract_x
_atom_site_fract_y
_atom_site_fract_z
Hg1 Hg 0.5000 0.0000 0.0000
Hg2 Hg 0.0000 0.0000 0.5000
B1 B 0.0000 0.5000 0.0000
N1 N 0.5000 0.5000 0.5000
Ag1 Ag 0.0000 0.0000 0.0000
```

=====

Entry 8:
Here is crystalline AgHg2BPd6 at its relaxed geometry from Alexandria. Energies are from GGA-PBE.

Values from the calculation:
Mass density   11.2 g/cm3
DFT total energy   -4.235 eV per atom
V   172 Å³ per cell
DOS(E_F)   3.6 states/eV per cell

```
data_AgHg2BPd6
_symmetry_space_group_name_H-M 'P 1'
_symmetry_Int_Tables_number 1
_cell_length_a 7.7292
_cell_length_b 5.4356
_cell_length_c 6.9671
_cell_angle_alpha 113.48
_cell_angle_beta 134.51
_cell_angle_gamma 90.51
loop_
_symmetry_equiv_pos_as_xyz
'x,y,z'
loop_
_atom_site_label
_atom_site_type_symbol
_atom_site_fract_x
_atom_site_fract_y
_atom_site_fract_z
Hg1 Hg 0.3425 0.8548 0.6406
Hg2 Hg 0.6562 0.1455 0.3582
Ag1 Ag 0.5016 0.5002 0.0015
Pd1 Pd 0.8639 0.3282 0.9986
Pd2 Pd 0.1364 0.6729 0.0002
Pd3 Pd 0.1156 0.0856 0.8216
Pd4 Pd 0.8835 0.9156 0.1774
Pd5 Pd 0.3749 0.2964 0.4758
Pd6 Pd 0.6246 0.7044 0.5243
B1 B 0.9999 0.0003 0.9998
```

=====

Entry 9:
Here is crystalline AgHgBPd2 at its relaxed geometry from Alexandria. Energies are from GGA-PBE.

Values from the calculation:
Mass density   11.1 g/cm3
DFT total energy   -4.017 eV per atom
V   79 Å³ per cell
DOS(E_F)   2.7 states/eV per cell

```
data_AgHgBPd2
_symmetry_space_group_name_H-M 'P 1'
_symmetry_Int_Tables_number 1
_cell_length_a 4.2159
_cell_length_b 4.2159
_cell_length_c 4.4628
_cell_angle_alpha 90.00
_cell_angle_beta 90.00
_cell_angle_gamma 90.00
loop_
_symmetry_equiv_pos_as_xyz
'x,y,z'
loop_
_atom_site_label
_atom_site_type_symbol
_atom_site_fract_x
_atom_site_fract_y
_atom_site_fract_z
Pd1 Pd 0.0000 0.5000 0.0000
Pd2 Pd 0.5000 0.0000 0.0000
B1 B 0.0000 0.0000 0.0000
Ag1 Ag 0.0000 0.0000 0.5000
Hg1 Hg 0.5000 0.5000 0.5000
```

=====

Entry 10:
Here is crystalline AgHgBPt2 at its relaxed geometry from Alexandria. Energies are from GGA-PBE.

Values from the calculation:
Mass density   14.6 g/cm3
DFT total energy   -4.348 eV per atom
V   81 Å³ per cell
DOS(E_F)   1.8 states/eV per cell

```
data_AgHgBPt2
_symmetry_space_group_name_H-M 'P 1'
_symmetry_Int_Tables_number 1
_cell_length_a 4.1910
_cell_length_b 4.1910
_cell_length_c 4.6041
_cell_angle_alpha 90.00
_cell_angle_beta 90.00
_cell_angle_gamma 90.00
loop_
_symmetry_equiv_pos_as_xyz
'x,y,z'
loop_
_atom_site_label
_atom_site_type_symbol
_atom_site_fract_x
_atom_site_fract_y
_atom_site_fract_z
Hg1 Hg 0.5000 0.5000 0.5000
Pt1 Pt 0.0000 0.5000 0.0000
Pt2 Pt 0.5000 0.0000 0.0000
Ag1 Ag 0.0000 0.0000 0.5000
B1 B 0.0000 0.0000 0.0000
```

=====

Entry 11:
Here is crystalline AgHg2BS4 at its relaxed geometry from Alexandria. Energies are from GGA-PBE.

Values from the calculation:
Mass density   6.3 g/cm3
DFT total energy   -3.517 eV per atom
V   343 Å³ per cell

```
data_AgHg2BS4
_symmetry_space_group_name_H-M 'P 1'
_symmetry_Int_Tables_number 1
_cell_length_a 6.5130
_cell_length_b 6.7081
_cell_length_c 7.8565
_cell_angle_alpha 90.00
_cell_angle_beta 90.00
_cell_angle_gamma 90.00
loop_
_symmetry_equiv_pos_as_xyz
'x,y,z'
loop_
_atom_site_label
_atom_site_type_symbol
_atom_site_fract_x
_atom_site_fract_y
_atom_site_fract_z
S1 S 0.8819 0.9191 0.0000
S2 S 0.9043 0.3170 0.7915
S3 S 0.9043 0.3170 0.2085
S4 S 0.3819 0.0809 0.5000
S5 S 0.2925 0.1894 0.0000
S6 S 0.4043 0.6830 0.2915
S7 S 0.4043 0.6830 0.7085
S8 S 0.7925 0.8106 0.5000
Hg1 Hg 0.0158 0.6942 0.7572
Hg2 Hg 0.5158 0.3058 0.2572
Hg3 Hg 0.5158 0.3058 0.7428
Hg4 Hg 0.0158 0.6942 0.2428
B1 B 0.9947 0.1875 0.0000
B2 B 0.4947 0.8125 0.5000
Ag1 Ag 0.9907 0.1417 0.5000
Ag2 Ag 0.4907 0.8583 0.0000
```

=====

Entry 12:
Here is crystalline ScAgHgB2 at its relaxed geometry from Alexandria. Energies are from GGA-PBE.

Values from the calculation:
Mass density   6.6 g/cm3
DFT total energy   -3.400 eV per atom
V   95 Å³ per cell
DOS(E_F)   2.8 states/eV per cell

```
data_ScAgHgB2
_symmetry_space_group_name_H-M 'P 1'
_symmetry_Int_Tables_number 1
_cell_length_a 4.1834
_cell_length_b 5.4249
_cell_length_c 4.1834
_cell_angle_alpha 90.00
_cell_angle_beta 90.00
_cell_angle_gamma 90.00
loop_
_symmetry_equiv_pos_as_xyz
'x,y,z'
loop_
_atom_site_label
_atom_site_type_symbol
_atom_site_fract_x
_atom_site_fract_y
_atom_site_fract_z
Ag1 Ag 0.0000 0.0000 0.0000
B1 B 0.5000 0.0000 0.0000
B2 B 0.0000 0.0000 0.5000
Sc1 Sc 0.0000 0.5000 0.0000
Hg1 Hg 0.5000 0.5000 0.5000
```